No. 1
# La3Tb2Pr7, relaxed, DFT PBE
# DOS at the Fermi energy: 17.5 states/eV per cell
# DFT total energy: -4.712 eV per atom
# energy of formation from the pure elements: 0.079 eV per atom
# polymorph energy (0 for the lowest one): 0.098 eV per formula unit
data_La3Tb2Pr7
_chemical_formula_sum 'La3 Tb2 Pr7'
_cell_length_a 6.0497
_cell_length_b 3.6751
_cell_length_c 19.5593
_cell_angle_alpha 90.00
_cell_angle_beta 93.04
_cell_angle_gamma 90.00
_symmetry_space_group_name_H-M 'P 1 2/m 1'
_symmetry_Int_Tables_number 10
_symmetry_space_group_name_Hall '-P 2y'
loop_
_atom_site_label
_atom_site_type_symbol
_atom_site_fract_x
_atom_site_fract_y
_atom_site_fract_z
_atom_site_occupancy
La1 La 0.0000 0.0000 0.0000 1
La2 La 0.2746 0.5000 0.6343 1
Tb1 Tb 0.2165 0.0000 0.2950 1
Pr1 Pr 0.1891 0.5000 0.1461 1
Pr2 Pr 0.2446 0.0000 0.4635 1
Pr3 Pr 0.3081 0.0000 0.8199 1
Pr4 Pr 0.5000 0.5000 0.0000 1

---

No. 2
# LaTb10Pr4, relaxed, DFT PBE
# DOS at the Fermi energy: 49.0 states/eV per cell
# DFT total energy: -4.267 eV per atom
# energy of formation from the pure elements: 0.423 eV per atom
data_LaTb10Pr4
_chemical_formula_sum 'La2 Tb20 Pr8'
_cell_length_a 9.8896
_cell_length_b 9.8896
_cell_length_c 11.0104
_cell_angle_alpha 90.00
_cell_angle_beta 90.00
_cell_angle_gamma 90.00
_symmetry_space_group_name_H-M 'I 4/m'
_symmetry_Int_Tables_number 87
_symmetry_space_group_name_Hall '-I 4'
loop_
_atom_site_label
_atom_site_type_symbol
_atom_site_fract_x
_atom_site_fract_y
_atom_site_fract_z
_atom_site_occupancy
La1 La 0.0000 0.0000 0.0000 1
Tb1 Tb 0.0000 0.5000 0.2500 1
Tb2 Tb 0.1230 0.7822 0.1693 1
Pr1 Pr 0.0520 0.7114 0.5000 1

---

No. 3
# La6Tb7Pr16, relaxed, DFT PBE
# DOS at the Fermi energy: 213.7 states/eV per cell
# DFT total energy: -4.588 eV per atom
# energy of formation from the pure elements: 0.186 eV per atom
data_La6Tb7Pr16
_chemical_formula_sum 'La24 Tb28 Pr64'
_cell_length_a 16.1949
_cell_length_b 16.1949
_cell_length_c 16.1949
_cell_angle_alpha 90.00
_cell_angle_beta 90.00
_cell_angle_gamma 90.00
_symmetry_space_group_name_H-M 'F m -3 m'
_symmetry_Int_Tables_number 225
_symmetry_space_group_name_Hall '-F 4 2 3'
loop_
_atom_site_label
_atom_site_type_symbol
_atom_site_fract_x
_atom_site_fract_y
_atom_site_fract_z
_atom_site_occupancy
La1 La 0.0000 0.0000 0.2111 1
Tb1 Tb 0.0000 0.0000 0.5000 1
Tb2 Tb 0.0000 0.2500 0.2500 1
Pr1 Pr 0.1232 0.1232 0.3768 1
Pr2 Pr 0.1542 0.1542 0.1542 1

---

No. 4
# La3Tb2Pr4, relaxed, DFT PBE
# DOS at the Fermi energy: 29.7 states/eV per cell
# DFT total energy: -4.778 eV per atom
# energy of formation from the pure elements: 0.018 eV per atom
data_La3Tb2Pr4
_chemical_formula_sum 'La6 Tb4 Pr8'
_cell_length_a 16.1227
_cell_length_b 3.6978
_cell_length_c 11.0510
_cell_angle_alpha 90.00
_cell_angle_beta 103.73
_cell_angle_gamma 90.00
_symmetry_space_group_name_H-M 'C 1 2/m 1'
_symmetry_Int_Tables_number 12
_symmetry_space_group_name_Hall '-C 2y'
loop_
_atom_site_label
_atom_site_type_symbol
_atom_site_fract_x
_atom_site_fract_y
_atom_site_fract_z
_atom_site_occupancy
La1 La 0.0000 0.0000 0.0000 1
La2 La 0.1685 0.5000 0.5552 1
Tb1 Tb 0.1668 0.5000 0.2218 1
Pr1 Pr 0.0007 0.0000 0.3315 1
Pr2 Pr 0.1676 0.5000 0.8896 1

---

No. 5
# La4Tb7Pr, relaxed, DFT PBE
# DOS at the Fermi energy: 16.5 states/eV per cell
# DFT total energy: -4.727 eV per atom
# energy of formation from the pure elements: 0.015 eV per atom
# polymorph energy (0 for the lowest one): 0.000 eV per formula unit
data_La4Tb7Pr
_chemical_formula_sum 'La4 Tb7 Pr1'
_cell_length_a 3.6415
_cell_length_b 3.6415
_cell_length_c 35.4563
_cell_angle_alpha 90.00
_cell_angle_beta 90.00
_cell_angle_gamma 120.00
_symmetry_space_group_name_H-M 'P -3 m 1'
_symmetry_Int_Tables_number 164
_symmetry_space_group_name_Hall '-P 3 2"'
loop_
_atom_site_label
_atom_site_type_symbol
_atom_site_fract_x
_atom_site_fract_y
_atom_site_fract_z
_atom_site_occupancy
La1 La 0.3333 0.6667 0.1670 1
La2 La 0.3333 0.6667 0.4163 1
Tb1 Tb 0.0000 0.0000 0.2514 1
Tb2 Tb 0.0000 0.0000 0.5000 1
Tb3 Tb 0.3333 0.6667 0.6680 1
Tb4 Tb 0.3333 0.6667 0.9170 1
Pr1 Pr 0.0000 0.0000 0.0000 1

---

No. 6
# La6Tb3Pr2, relaxed, DFT PBE
# DOS at the Fermi energy: 19.8 states/eV per cell
# DFT total energy: -4.799 eV per atom
# energy of formation from the pure elements: 0.021 eV per atom
data_La6Tb3Pr2
_chemical_formula_sum 'La6 Tb3 Pr2'
_cell_length_a 6.3913
_cell_length_b 8.2249
_cell_length_c 8.2408
_cell_angle_alpha 107.26
_cell_angle_beta 97.07
_cell_angle_gamma 104.98
_symmetry_space_group_name_H-M 'P -1'
_symmetry_Int_Tables_number 2
_symmetry_space_group_name_Hall '-P 1'
loop_
_atom_site_label
_atom_site_type_symbol
_atom_site_fract_x
_atom_site_fract_y
_atom_site_fract_z
_atom_site_occupancy
La1 La 0.0473 0.1825 0.4117 1
La2 La 0.1379 0.5457 0.2319 1
La3 La 0.3198 0.2736 0.8635 1
Tb1 Tb 0.4099 0.6381 0.6808 1
Tb2 Tb 0.5000 0.0000 0.5000 1
Pr1 Pr 0.2290 0.9092 0.0480 1

---

No. 7
# LaTb4Pr, relaxed, DFT PBE
# DOS at the Fermi energy: 37.3 states/eV per cell
# DFT total energy: -4.466 eV per atom
# energy of formation from the pure elements: 0.238 eV per atom
# polymorph energy (0 for the lowest one): 1.294 eV per formula unit
data_LaTb4Pr
_chemical_formula_sum 'La4 Tb16 Pr4'
_cell_length_a 6.8300
_cell_length_b 12.1767
_cell_length_c 9.8145
_cell_angle_alpha 90.00
_cell_angle_beta 90.00
_cell_angle_gamma 90.00
_symmetry_space_group_name_H-M 'C m c m'
_symmetry_Int_Tables_number 63
_symmetry_space_group_name_Hall '-C 2c 2'
loop_
_atom_site_label
_atom_site_type_symbol
_atom_site_fract_x
_atom_site_fract_y
_atom_site_fract_z
_atom_site_occupancy
La1 La 0.0000 0.0000 0.0000 1
Tb1 Tb 0.0000 0.3439 0.0724 1
Tb2 Tb 0.2344 0.3975 0.7500 1
Pr1 Pr 0.0000 0.1790 0.7500 1

---

No. 8
# La6TbPr2, relaxed, DFT PBE
# DOS at the Fermi energy: 29.4 states/eV per cell
# DFT total energy: -4.748 eV per atom
# energy of formation from the pure elements: 0.113 eV per atom
# polymorph energy (0 for the lowest one): 0.521 eV per formula unit
data_La6TbPr2
_chemical_formula_sum 'La12 Tb2 Pr4'
_cell_length_a 9.6362
_cell_length_b 18.2258
_cell_length_c 3.7042
_cell_angle_alpha 90.00
_cell_angle_beta 90.00
_cell_angle_gamma 90.00
_symmetry_space_group_name_H-M 'C m m m'
_symmetry_Int_Tables_number 65
_symmetry_space_group_name_Hall '-C 2 2'
loop_
_atom_site_label
_atom_site_type_symbol
_atom_site_fract_x
_atom_site_fract_y
_atom_site_fract_z
_atom_site_occupancy
La1 La 0.1715 0.1637 0.0000 1
La2 La 0.1793 0.0000 0.5000 1
Tb1 Tb 0.0000 0.5000 0.0000 1
Pr1 Pr 0.0000 0.3265 0.5000 1